The following is a DFT calculation (GGA-PBE) of a geometry-optimized CaSnC2O structure.

abc: 4.3905 4.1347 4.3905
angles: 90.00 90.00 90.00
Closest atoms and distances in Å follow each position.
Fractional positions:
Ca (0.5000, 0.5000, 0.5000)  8 C 3.02, 4 Sn 3.10
Sn (0.0000, 0.5000, 0.0000)  2 O 2.07
C (0.0000, 0.0000, 0.5000)  2 O 2.20
C (0.5000, 0.0000, 0.0000)  2 O 2.20
O (0.0000, 0.0000, 0.0000)  2 Sn 2.07, 4 C 2.20

Summary:
DFT total energy = -4.259 eV per atom
symmetry = P4/mmm (123)
formation energy without anion corrections = 1.62 eV/atom
calculated density = 4.1 g/cm3